(1)
VASP calculation (PBE) on NdThNiHg after structural relaxation.

Properties
- Energy of formation: -67 kJ/mol of formula units

```
data_NdThNiHg
_chemical_formula_sum 'Nd4 Th4 Ni4 Hg4'
_symmetry_space_group_name_H-M 'F -4 3 m'
_symmetry_Int_Tables_number 216
_symmetry_space_group_name_Hall 'F -4 2 3'
_cell_length_a 7.379
_cell_length_b 7.379
_cell_length_c 7.379
_cell_angle_alpha 90.00
_cell_angle_beta 90.00
_cell_angle_gamma 90.00
loop_
_atom_site_label
_atom_site_type_symbol
_atom_site_fract_x
_atom_site_fract_y
_atom_site_fract_z
Nd1 Nd 0.000 0.000 0.000
Th1 Th 0.000 0.000 0.500
Ni1 Ni 0.250 0.250 0.250
Hg1 Hg 0.250 0.250 0.750
```



(2)
VASP calculation (PBE) on Fe2NiPd3 after structural relaxation.

Properties
- Energy of formation: -31 kJ/mol of formula units

```
data_Fe2NiPd3
_chemical_formula_sum 'Fe4 Ni2 Pd6'
_symmetry_space_group_name_H-M 'C 1 2/m 1'
_symmetry_Int_Tables_number 12
_symmetry_space_group_name_Hall '-C 2y'
_cell_length_a 8.344
_cell_length_b 3.849
_cell_length_c 5.354
_cell_angle_alpha 90.00
_cell_angle_beta 105.87
_cell_angle_gamma 90.00
loop_
_atom_site_label
_atom_site_type_symbol
_atom_site_fract_x
_atom_site_fract_y
_atom_site_fract_z
Fe1 Fe 0.159 0.000 0.317
Ni1 Ni 0.000 0.500 0.000
Pd1 Pd 0.000 0.500 0.500
Pd2 Pd 0.169 0.000 0.828
```



(3)
VASP calculation (PBE) on Ce2ThGe3Ir4 after structural relaxation.

Properties
- Energy of formation: -711 kJ/mol of formula units

```
data_Ce2ThGe3Ir4
_chemical_formula_sum 'Ce2 Th1 Ge3 Ir4'
_symmetry_space_group_name_H-M 'P -4 m 2'
_symmetry_Int_Tables_number 115
_symmetry_space_group_name_Hall 'P -4 -2'
_cell_length_a 4.258
_cell_length_b 4.258
_cell_length_c 11.251
_cell_angle_alpha 90.00
_cell_angle_beta 90.00
_cell_angle_gamma 90.00
loop_
_atom_site_label
_atom_site_type_symbol
_atom_site_fract_x
_atom_site_fract_y
_atom_site_fract_z
Ce1 Ce 0.000 0.500 0.222
Th1 Th 0.000 0.000 0.500
Ge1 Ge 0.000 0.500 0.879
Ge2 Ge 0.500 0.500 0.500
Ir1 Ir 0.000 0.000 0.000
Ir2 Ir 0.000 0.500 0.661
Ir3 Ir 0.500 0.500 0.000
```



(4)
VASP calculation (PBE) on V3Ru2Rh after structural relaxation.

Properties
- Energy relative to the lowest polymorph listed for this composition: 23.8 meV per atom
- Energy of formation: -129 kJ/mol of formula units

```
data_V3Ru2Rh
_chemical_formula_sum 'V12 Ru8 Rh4'
_symmetry_space_group_name_H-M 'C m m m'
_symmetry_Int_Tables_number 65
_symmetry_space_group_name_Hall '-C 2 2'
_cell_length_a 4.316
_cell_length_b 13.162
_cell_length_c 5.820
_cell_angle_alpha 90.00
_cell_angle_beta 90.00
_cell_angle_gamma 90.00
loop_
_atom_site_label
_atom_site_type_symbol
_atom_site_fract_x
_atom_site_fract_y
_atom_site_fract_z
V1 V 0.000 0.000 0.239
V2 V 0.000 0.343 0.251
Ru1 Ru 0.000 0.172 0.500
Ru2 Ru 0.000 0.500 0.000
Ru3 Ru 0.000 0.500 0.500
Rh1 Rh 0.000 0.182 0.000
```



(5)
VASP calculation (PBE) on K2MoBr after structural relaxation.

Properties
- Energy relative to the lowest polymorph listed for this composition: 0.0 meV per atom

```
data_K2MoBr
_chemical_formula_sum 'K2 Mo1 Br1'
_symmetry_space_group_name_H-M 'P m m m'
_symmetry_Int_Tables_number 47
_symmetry_space_group_name_Hall '-P 2 2'
_cell_length_a 3.857
_cell_length_b 3.906
_cell_length_c 9.240
_cell_angle_alpha 90.00
_cell_angle_beta 90.00
_cell_angle_gamma 90.00
loop_
_atom_site_label
_atom_site_type_symbol
_atom_site_fract_x
_atom_site_fract_y
_atom_site_fract_z
K1 K 0.000 0.000 0.216
Mo1 Mo 0.500 0.500 0.500
Br1 Br 0.500 0.500 0.000
```



(6)
VASP calculation (PBE) on NaAgSb after structural relaxation.

Properties
- Energy relative to the lowest polymorph listed for this composition: 37.8 meV per atom

```
data_NaAgSb
_chemical_formula_sum 'Na2 Ag2 Sb2'
_symmetry_space_group_name_H-M 'P 4/n m m'
_symmetry_Int_Tables_number 129
_cell_length_a 4.500
_cell_length_b 4.500
_cell_length_c 7.508
_cell_angle_alpha 90.00
_cell_angle_beta 90.00
_cell_angle_gamma 90.00
loop_
_symmetry_equiv_pos_as_xyz
'x,y,z'
'-x,-y,-z'
'-y+1/2,x,z'
'y+1/2,-x,-z'
'-x+1/2,-y+1/2,z'
'x+1/2,y+1/2,-z'
'y,-x+1/2,z'
'-y,x+1/2,-z'
'x+1/2,-y,-z'
'-x+1/2,y,z'
'-y,-x,-z'
'y,x,z'
'-x,y+1/2,-z'
'x,-y+1/2,z'
'y+1/2,x+1/2,-z'
'-y+1/2,-x+1/2,z'
loop_
_atom_site_label
_atom_site_type_symbol
_atom_site_fract_x
_atom_site_fract_y
_atom_site_fract_z
Na1 Na 0.250 0.250 0.166
Ag1 Ag 0.250 0.750 0.500
Sb1 Sb 0.250 0.250 0.736
```



(7)
VASP calculation (PBE) on Tm2Zn2Cd3 after structural relaxation.

Properties
- Energy relative to the lowest polymorph listed for this composition: 29.0 meV per atom
- Energy of formation: -157 kJ/mol of formula units

```
data_Tm2Zn2Cd3
_chemical_formula_sum 'Tm4 Zn4 Cd6'
_symmetry_space_group_name_H-M 'C m m m'
_symmetry_Int_Tables_number 65
_symmetry_space_group_name_Hall '-C 2 2'
_cell_length_a 4.367
_cell_length_b 20.398
_cell_length_c 3.477
_cell_angle_alpha 90.00
_cell_angle_beta 90.00
_cell_angle_gamma 90.00
loop_
_atom_site_label
_atom_site_type_symbol
_atom_site_fract_x
_atom_site_fract_y
_atom_site_fract_z
Tm1 Tm 0.000 0.164 0.000
Zn1 Zn 0.000 0.283 0.500
Cd1 Cd 0.000 0.000 0.000
Cd2 Cd 0.000 0.424 0.500
```



(8)
VASP calculation (PBE) on MgNb2VPd after structural relaxation.

Properties
- Energy of formation: 596 kJ/mol of formula units

```
data_MgNb2VPd
_chemical_formula_sum 'Mg1 Nb2 V1 Pd1'
_symmetry_space_group_name_H-M 'P 4/m m m'
_symmetry_Int_Tables_number 123
_symmetry_space_group_name_Hall '-P 4 2'
_cell_length_a 4.886
_cell_length_b 4.886
_cell_length_c 4.571
_cell_angle_alpha 90.00
_cell_angle_beta 90.00
_cell_angle_gamma 90.00
loop_
_atom_site_label
_atom_site_type_symbol
_atom_site_fract_x
_atom_site_fract_y
_atom_site_fract_z
Mg1 Mg 0.000 0.000 0.000
Nb1 Nb 0.000 0.500 0.500
V1 V 0.500 0.500 0.000
Pd1 Pd 0.000 0.000 0.500
```



(9)
VASP calculation (PBE) on Hf8Zn2Sb after structural relaxation.

Properties
- Total DFT energy (no corrections): -7.858 eV/atom

```
data_Hf8Zn2Sb
_chemical_formula_sum 'Hf16 Zn4 Sb2'
_symmetry_space_group_name_H-M 'C 1 2/m 1'
_symmetry_Int_Tables_number 12
_symmetry_space_group_name_Hall '-C 2y'
_cell_length_a 7.784
_cell_length_b 12.517
_cell_length_c 5.171
_cell_angle_alpha 90.00
_cell_angle_beta 109.65
_cell_angle_gamma 90.00
loop_
_atom_site_label
_atom_site_type_symbol
_atom_site_fract_x
_atom_site_fract_y
_atom_site_fract_z
Hf1 Hf 0.000 0.240 0.000
Hf2 Hf 0.089 0.500 0.802
Hf3 Hf 0.202 0.119 0.618
Zn1 Zn 0.000 0.307 0.500
Sb1 Sb 0.000 0.000 0.000
```



(10)
VASP calculation (PBE) on TaPtCl2 after structural relaxation.

Properties
- Energy relative to the lowest polymorph listed for this composition: 512.0 meV per atom

```
data_TaPtCl2
_chemical_formula_sum 'Ta2 Pt2 Cl4'
_symmetry_space_group_name_H-M 'I m m 2'
_symmetry_Int_Tables_number 44
_symmetry_space_group_name_Hall 'I 2 -2'
_cell_length_a 2.940
_cell_length_b 4.746
_cell_length_c 13.408
_cell_angle_alpha 90.00
_cell_angle_beta 90.00
_cell_angle_gamma 90.00
loop_
_atom_site_label
_atom_site_type_symbol
_atom_site_fract_x
_atom_site_fract_y
_atom_site_fract_z
Ta1 Ta 0.000 0.000 0.000
Pt1 Pt 0.000 0.500 0.343
Cl1 Cl 0.000 0.000 0.504
Cl2 Cl 0.000 0.500 0.655
```



(11)
VASP calculation (PBE) on BeGe2Pt2 after structural relaxation.

Properties
- Energy of formation: -62 kJ/mol of formula units

```
data_BeGe2Pt2
_chemical_formula_sum 'Be2 Ge4 Pt4'
_symmetry_space_group_name_H-M 'P 4/m b m'
_symmetry_Int_Tables_number 127
_symmetry_space_group_name_Hall '-P 4 2ab'
_cell_length_a 6.359
_cell_length_b 6.359
_cell_length_c 3.982
_cell_angle_alpha 90.00
_cell_angle_beta 90.00
_cell_angle_gamma 90.00
loop_
_atom_site_label
_atom_site_type_symbol
_atom_site_fract_x
_atom_site_fract_y
_atom_site_fract_z
Be1 Be 0.000 0.000 0.000
Ge1 Ge 0.154 0.346 0.500
Pt1 Pt 0.165 0.665 0.000
```



(12)
VASP calculation (PBE) on NpNiPd6 after structural relaxation.

Properties
- Energy relative to the lowest polymorph listed for this composition: 236.3 meV per atom
- Energy of formation: 13 kJ/mol of formula units

```
data_NpNiPd6
_chemical_formula_sum 'Np2 Ni2 Pd12'
_symmetry_space_group_name_H-M 'C 1 2/m 1'
_symmetry_Int_Tables_number 12
_symmetry_space_group_name_Hall '-C 2y'
_cell_length_a 5.710
_cell_length_b 9.940
_cell_length_c 5.563
_cell_angle_alpha 90.00
_cell_angle_beta 119.65
_cell_angle_gamma 90.00
loop_
_atom_site_label
_atom_site_type_symbol
_atom_site_fract_x
_atom_site_fract_y
_atom_site_fract_z
Np1 Np 0.000 0.000 0.000
Ni1 Ni 0.000 0.000 0.500
Pd1 Pd 0.006 0.227 0.747
Pd2 Pd 0.011 0.500 0.252
```